1.
The following is a DFT calculation (PBE-GGA) of crystalline BC3 at its relaxed geometry.

Lattice parameters (Å, degrees): 2.5691 2.5691 12.9878 90.00 90.00 120.00
Last column: nearest neighbours and their distance in Å.
Atoms (fractional coordinates):
C 0.0000 0.0000 0.8877  1 C 1.51, 3 B 1.64
B 0.6667 0.3333 0.3280  4 C 1.62-1.63
C 0.0000 0.0000 0.3788  1 C 1.52, 3 B 1.62
C 0.3333 0.6667 0.1644  4 C 1.56
C 0.3333 0.6667 0.5356  3 C 1.57, 1 B 1.63
C 0.0000 0.0000 0.0037  4 C 1.51-1.57
C 0.3333 0.6667 0.0441  4 C 1.56-1.57
B 0.6667 0.3333 0.8345  4 C 1.57-1.64
C 0.6667 0.3333 0.7139  4 B 1.57-1.64
C 0.0000 0.0000 0.4961  4 C 1.52-1.57
C 0.6667 0.3333 0.2025  3 C 1.56, 1 B 1.63
B 0.3333 0.6667 0.6608  4 C 1.63-1.64

The calculation puts the energy of formation at 29.9 kJ per mole of atoms. The symmetry is No. 156.

---

2.
The following is a DFT calculation (PBE-GGA) of crystalline AgCN3 at its relaxed geometry.

Lattice parameters (Å, degrees): 4.0673 4.0673 4.0673 90.00 90.00 90.00
Last column: nearest neighbours and their distance in Å.
Atoms (fractional coordinates):
N 0.0000 0.0000 0.5000  2 Ag 2.03
Ag 0.0000 0.0000 0.0000  6 N 2.03
N 0.0000 0.5000 0.0000  2 Ag 2.03
C 0.5000 0.5000 0.5000  12 N 2.88
N 0.5000 0.0000 0.0000  2 Ag 2.03

Its raw formation energy is 3.78 eV/atom. The symmetry is No. 221.

---

3.
The following is a DFT calculation (PBE-GGA) of crystalline BaCeCd17 at its relaxed geometry.

Lattice parameters (Å, degrees): 7.7684 7.7684 7.7684 82.34 82.34 82.34
Last column: nearest neighbours and their distance in Å.
Atoms (fractional coordinates):
Cd 0.7008 0.2951 0.0027  8 Cd 2.96-3.25
Cd 0.8607 0.3499 0.3499  9 Cd 2.91-3.22
Cd 0.2951 0.7008 0.0027  8 Cd 2.96-3.25
Cd 0.1815 0.6317 0.6317  8 Cd 2.91-3.25
Cd 0.3499 0.3499 0.8607  9 Cd 2.91-3.22
Cd 0.9068 0.9068 0.9068  10 Cd 3.01-3.35
Cd 0.0027 0.2951 0.7008  8 Cd 2.96-3.25
Ba 0.6639 0.6639 0.6639  19 Cd 3.63-3.97
Cd 0.1056 0.1056 0.1056  7 Cd 3.01-3.21
Cd 0.0027 0.7008 0.2951  8 Cd 2.96-3.25
Cd 0.9890 0.5118 0.9890  10 Cd 2.96-3.21
Cd 0.7008 0.0027 0.2951  8 Cd 2.96-3.25
Cd 0.3499 0.8607 0.3499  9 Cd 2.91-3.22
Cd 0.9890 0.9890 0.5118  10 Cd 2.96-3.21
Cd 0.2951 0.0027 0.7008  8 Cd 2.96-3.25
Cd 0.6317 0.1815 0.6317  8 Cd 2.91-3.25
Cd 0.6317 0.6317 0.1815  8 Cd 2.91-3.25
Cd 0.5118 0.9890 0.9890  10 Cd 2.96-3.21
Ce 0.3312 0.3312 0.3312  13 Cd 3.42-3.62

The calculation puts the energy of formation at -14.8 kJ per mole of atoms. The symmetry is No. 160.

---

Calculated total moment, 0.00 3.34 1.11 Bohr magnetons per cell (same order as the records).